No. 1
KAs2Br8 | PBE-GGA | relaxed

The structure in POSCAR format:
```
KAs2Br8
1.0
7.1332 -5.3791 0.0000
7.1332 5.3791 0.0000
-1.7695 0.0000 6.9047
K As Br
1 2 8
Cartesian
0.0000 0.0000 0.0000
1.9487 0.0000 4.7980
10.5482 0.0000 2.1066
4.8741 3.4435 1.6523
2.4372 0.0000 2.3737
7.6228 3.4435 5.2524
4.0839 0.0000 6.1516
8.4130 0.0000 0.7530
4.8741 -3.4435 1.6523
10.0597 0.0000 4.5309
7.6228 -3.4435 5.2524
```



No. 2
Cs3HPb | PBE-GGA | relaxed

The structure in POSCAR format:
```
Cs3HPb
1.0
4.2573 2.4579 7.4939
-4.2573 2.4579 7.4939
0.0000 -4.9159 7.4939
Cs H Pb
6 2 2
Cartesian
0.0000 -2.3561 5.6362
-2.0404 1.1780 5.6362
-2.0404 -1.1780 16.8456
2.0404 1.1780 5.6362
2.0404 -1.1780 16.8456
0.0000 2.3561 16.8456
0.0000 0.0000 3.6748
0.0000 0.0000 18.8070
0.0000 0.0000 9.7518
0.0000 0.0000 12.7300
```



No. 3
SiAu2Cl | PBE-GGA | relaxed

The structure in POSCAR format:
```
SiAu2Cl
1.0
-1.9396 1.9396 5.3207
1.9396 -1.9396 5.3207
1.9396 1.9396 -5.3207
Si Au Cl
1 2 1
Cartesian
0.0000 0.0000 0.0000
1.9396 0.0000 2.6603
0.0000 1.9396 2.6603
0.0000 0.0000 5.3207
```



no.,electronic total energy (Ry per atom)
1,-0.2004
2,-0.1453
3,-0.2282